Entry 1:
Density functional theory data (GGA-PBE) for a relaxed structure of Sc2CdBr.

Computed properties:
Polymorph energy (0 for the lowest one), meV per atom: 26.8
Space-group type: P4mm (99)
E_form (uncorrected), eV per atom: -0.47
Density, g cm⁻³: 4.44

Cell lengths 3.483, 3.483, 8.694 Å; angles 90.00, 90.00, 90.00 degrees
Positions (direct):
Br (0.000, 0.000, 0.410)
Sc (0.500, 0.500, 0.256)
Sc (0.000, 0.000, 0.025)
Cd (0.500, 0.500, 0.809)


Entry 2:
Density functional theory data (GGA-PBE) for a relaxed structure of Sc4CdBr.

Computed properties:
Space-group type: F-43m (216)
E_form (uncorrected), eV per atom: 0.24
Density, g cm⁻³: 4.05

Cell lengths 6.000, 6.000, 6.000 Å; angles 60.00, 60.00, 60.00 degrees
Positions (direct):
Sc (0.373, 0.373, 0.373)
Sc (0.373, 0.881, 0.373)
Sc (0.373, 0.373, 0.881)
Sc (0.881, 0.373, 0.373)
Cd (0.000, 0.000, 0.000)
Br (0.750, 0.750, 0.750)


Entry 3:
Density functional theory data (GGA-PBE) for a relaxed structure of Sc2CdBr.

Computed properties:
Polymorph energy (0 for the lowest one), meV per atom: 174.7
Space-group type: P4/mmm (123)
E_form (uncorrected), eV per atom: -0.32
Density, g cm⁻³: 5.18

Cell lengths 3.267, 5.263, 5.263 Å; angles 90.00, 90.00, 90.00 degrees
Site moments in Bohr magnetons follow the coordinates.
Positions (direct):
Br (0.500, 0.500, 0.000)  0.00
Cd (0.500, 0.000, 0.500)  0.01
Sc (0.000, 0.000, 0.000)  0.35
Sc (0.000, 0.500, 0.500)  0.35


Entry 4:
Density functional theory data (GGA-PBE) for a relaxed structure of Sc2CdBr.

Computed properties:
Polymorph energy (0 for the lowest one), meV per atom: 122.4
Space-group type: Imm2 (44)
E_form (uncorrected), eV per atom: -0.37
Density, g cm⁻³: 4.94

Cell lengths 6.508, 6.508, 6.508 Å; angles 150.43, 135.51, 54.33 degrees
Site moments in Bohr magnetons follow the coordinates.
Positions (direct):
Sc (0.730, 0.230, 0.500)  0.09
Sc (0.964, 0.964, 0.000)  0.21
Br (0.534, 0.534, 0.000)  0.00
Cd (0.273, 0.773, 0.500)  0.00


Question: The highest density belongs to which entry?
Answer: number 3